# 1
Compound: HoMgCdPt
Source: Alexandria
Functional: PBE
Structure: optimized geometry

Lattice parameters (Å, degrees): 6.910 6.910 6.910 90.00 90.00 90.00
Space group F-43m (No. 216)
Symmetry-distinct sites (fractional):
Ho  0.000  0.000  0.000 (multiplicity 4)
Mg  0.000  0.000  0.500 (multiplicity 4)
Cd  0.250  0.250  0.750 (multiplicity 4)
Pt  0.250  0.250  0.250 (multiplicity 4)

# 2
Compound: HoMgCdRu
Source: Alexandria
Functional: PBE
Structure: optimized geometry

Lattice parameters (Å, degrees): 6.845 6.845 6.845 90.00 90.00 90.00
Space group F-43m (No. 216)
Symmetry-distinct sites (fractional):
Ho  0.000  0.000  0.000 (multiplicity 4)
Mg  0.000  0.000  0.500 (multiplicity 4)
Cd  0.250  0.250  0.250 (multiplicity 4)
Ru  0.250  0.250  0.750 (multiplicity 4)

# 3
Compound: Sm2HoMg5Cd2
Source: Alexandria
Functional: PBE
Structure: optimized geometry

Lattice parameters (Å, degrees): 10.480 10.480 4.702 90.00 90.00 90.00
Space group P4/mbm (No. 127)
Symmetry-distinct sites (fractional):
Sm  0.179  0.321  0.000 (multiplicity 4)
Ho  0.000  0.000  0.000 (multiplicity 2)
Mg  0.000  0.500  0.500 (multiplicity 2)
Mg  0.060  0.790  0.500 (multiplicity 8)
Cd  0.116  0.616  0.000 (multiplicity 4)

# 4
Compound: SmHoMgCd
Source: Alexandria
Functional: PBE
Structure: optimized geometry

Lattice parameters (Å, degrees): 7.577 7.577 7.577 90.00 90.00 90.00
Space group F-43m (No. 216)
Symmetry-distinct sites (fractional):
Sm  0.000  0.000  0.000 (multiplicity 4)
Ho  0.000  0.000  0.500 (multiplicity 4)
Mg  0.250  0.250  0.250 (multiplicity 4)
Cd  0.250  0.250  0.750 (multiplicity 4)

# 5
Compound: HoMgCdSn
Source: Alexandria
Functional: PBE
Structure: optimized geometry

Lattice parameters (Å, degrees): 7.296 7.296 7.296 90.00 90.00 90.00
Space group F-43m (No. 216)
Symmetry-distinct sites (fractional):
Ho  0.000  0.000  0.000 (multiplicity 4)
Mg  0.000  0.000  0.500 (multiplicity 4)
Cd  0.250  0.250  0.750 (multiplicity 4)
Sn  0.250  0.250  0.250 (multiplicity 4)

# 6
Compound: HoMgCdSn
Source: Alexandria
Functional: PBE
Structure: optimized geometry

Lattice parameters (Å, degrees): 4.370 4.542 4.792 90.00 90.00 90.00
Space group Pmmm (No. 47)
Symmetry-distinct sites (fractional):
Ho  0.000  0.000  0.000 (multiplicity 1)
Mg  0.000  0.500  0.500 (multiplicity 1)
Cd  0.500  0.000  0.500 (multiplicity 1)
Sn  0.500  0.500  0.000 (multiplicity 1)

# 7
Compound: SrHoMg2Cd4
Source: Alexandria
Functional: PBE
Structure: optimized geometry

Lattice parameters (Å, degrees): 5.1658 5.1658 25.8531 90.00 90.00 120.00
Space group R-3m (No. 166, hexagonal axes)
Symmetry-distinct sites (fractional):
Sr  0.0000  0.0000  0.0000 (multiplicity 3)
Ho  0.0000  0.0000  0.5000 (multiplicity 3)
Mg  0.0000  0.0000  0.2471 (multiplicity 6)
Cd  0.0000  0.0000  0.1276 (multiplicity 6)
Cd  0.0000  0.0000  0.3807 (multiplicity 6)

# 8
Compound: SrHoMg2Cd2
Source: Alexandria
Functional: PBE
Structure: optimized geometry

Lattice parameters (Å, degrees): 5.0497 5.0497 7.7183 90.00 90.00 120.00
Space group P-3m1 (No. 164)
Symmetry-distinct sites (fractional):
Sr  0.0000  0.0000  0.0000 (multiplicity 1)
Ho  0.0000  0.0000  0.5000 (multiplicity 1)
Mg  0.3333  0.6667  0.7025 (multiplicity 2)
Cd  0.3333  0.6667  0.2975 (multiplicity 2)

D(E_F) values, unit states/eV/cell, following the record order: 14.77; 14.46; 11.99; 18.89; 10.90; 1.38; 11.15; 5.18.
E_form values, unit kJ/mol of formula units, following the record order: -249; -46; -148; -77; -111; -166; -203; -126.